! LiTl2FeCl6 PBE-GGA optimized geometry; values from VASP
&SYSTEM
  ibrav = 0, nat = 20, ntyp = 4
/
ATOMIC_SPECIES
Li 6.94 Li.upf
Tl 204.38 Tl.upf
Fe 55.84 Fe.upf
Cl 35.45 Cl.upf
ATOMIC_POSITIONS angstrom
Li 0.000 0.000 0.000
Li 3.491 3.492 4.943
Tl 6.982 3.490 2.472
Tl 0.000 3.495 7.414
Tl 3.490 6.986 2.470
Tl 3.493 -0.001 7.416
Fe 0.000 -0.001 4.943
Fe 3.491 3.493 0.000
Cl 0.005 6.985 2.551
Cl 1.657 5.265 4.946
Cl 1.726 1.660 4.951
Cl 1.782 1.820 9.879
Cl 1.818 5.200 9.882
Cl 3.483 3.490 2.392
Cl 3.499 3.494 7.494
Cl 5.165 1.784 0.004
Cl 5.200 5.165 0.007
Cl 5.257 5.325 4.935
Cl 5.326 1.720 4.940
Cl 6.978 0.000 7.335
CELL_PARAMETERS angstrom
6.984 0.000 0.000
-0.002 6.986 0.000
0.000 -0.001 9.886
! * polymorph energy (0 for the lowest one): 2 meV per atom

---

! LiTl2FeCl6 PBE-GGA optimized geometry; values from VASP
&SYSTEM
  ibrav = 0, nat = 10, ntyp = 4
/
ATOMIC_SPECIES
Li 6.94 Li.upf
Tl 204.38 Tl.upf
Fe 55.84 Fe.upf
Cl 35.45 Cl.upf
ATOMIC_POSITIONS angstrom
Li 0.000 0.000 0.000
Tl -0.001 0.000 4.265
Tl 8.042 0.000 1.422
Fe 4.021 0.000 2.844
Cl 3.042 1.688 4.220
Cl 2.075 0.000 1.460
Cl 5.000 1.688 1.467
Cl 3.042 -1.688 4.220
Cl 5.967 0.000 4.227
Cl 5.000 -1.688 1.467
CELL_PARAMETERS angstrom
6.031 -3.483 0.000
6.031 3.483 0.000
-4.020 0.000 5.687
! * polymorph energy (0 for the lowest one): 3 meV per atom

---

! LiTl2FeCl6 PBE-GGA optimized geometry; values from VASP
&SYSTEM
  ibrav = 0, nat = 10, ntyp = 4
/
ATOMIC_SPECIES
Li 6.94 Li.upf
Tl 204.38 Tl.upf
Fe 55.84 Fe.upf
Cl 35.45 Cl.upf
ATOMIC_POSITIONS angstrom
Li 0.000 0.000 0.000
Tl 0.000 0.000 4.261
Tl 0.000 0.000 12.785
Fe 0.000 0.000 8.523
Cl -0.007 -1.952 7.143
Cl -1.694 -0.970 9.904
Cl -1.687 0.982 7.143
Cl 1.687 -0.982 9.904
Cl 1.694 0.970 7.142
Cl 0.007 1.952 9.904
CELL_PARAMETERS angstrom
3.479 2.009 5.682
-3.479 2.009 5.682
0.000 -4.018 5.682
! * polymorph energy (0 for the lowest one): 4 meV per atom

---

! LiTl2FeCl6 PBE-GGA optimized geometry; values from VASP
&SYSTEM
  ibrav = 0, nat = 10, ntyp = 4
/
ATOMIC_SPECIES
Li 6.94 Li.upf
Tl 204.38 Tl.upf
Fe 55.84 Fe.upf
Cl 35.45 Cl.upf
ATOMIC_POSITIONS angstrom
Li 0.000 0.000 0.000
Tl 3.443 0.000 2.554
Tl 0.000 3.443 2.554
Fe 0.000 0.000 5.109
Cl 4.825 1.489 0.000
Cl 0.000 0.000 2.695
Cl 1.489 2.060 0.000
Cl 1.954 1.382 5.109
Cl 0.000 0.000 7.523
Cl -1.382 1.954 5.109
CELL_PARAMETERS angstrom
-3.443 3.443 5.109
3.443 -3.443 5.109
3.443 3.443 -5.109
! * polymorph energy (0 for the lowest one): 0 meV per atom

---

! TmLuFe2Cl2 PBE-GGA optimized geometry; values from VASP
&SYSTEM
  ibrav = 0, nat = 6, ntyp = 4
/
ATOMIC_SPECIES
Tm 168.93 Tm.upf
Lu 174.97 Lu.upf
Fe 55.84 Fe.upf
Cl 35.45 Cl.upf
ATOMIC_POSITIONS angstrom
Tm 0.000 0.000 0.000
Lu 0.000 0.000 3.933
Fe 0.000 2.164 2.079
Fe 1.874 1.082 1.863
Cl 0.000 2.164 9.211
Cl 1.874 1.082 5.644
CELL_PARAMETERS angstrom
3.749 0.000 0.000
-1.874 3.247 0.000
0.000 0.000 10.922
! * calculated total energy: -6.01 eV/atom

---

! YLuFe2Cl2 PBE-GGA optimized geometry; values from VASP
&SYSTEM
  ibrav = 0, nat = 6, ntyp = 4
/
ATOMIC_SPECIES
Y 88.91 Y.upf
Lu 174.97 Lu.upf
Fe 55.84 Fe.upf
Cl 35.45 Cl.upf
ATOMIC_POSITIONS angstrom
Y 0.000 0.000 0.000
Lu 0.000 0.000 7.021
Fe 0.000 2.179 9.070
Fe 1.887 1.090 8.854
Cl 0.000 2.179 5.328
Cl 1.887 1.090 1.761
CELL_PARAMETERS angstrom
3.774 0.000 0.000
-1.887 3.269 0.000
0.000 0.000 10.995
! * calculated total energy: -6.33 eV/atom

---

! FeS4N4Cl3 PBE-GGA optimized geometry; values from VASP
&SYSTEM
  ibrav = 0, nat = 48, ntyp = 4
/
ATOMIC_SPECIES
Fe 55.84 Fe.upf
S 32.06 S.upf
N 14.01 N.upf
Cl 35.45 Cl.upf
ATOMIC_POSITIONS angstrom
Fe 1.023 0.124 2.348
Fe -0.031 6.409 8.619
Fe 4.279 6.658 3.923
Fe 3.225 12.943 10.194
S -0.375 9.427 4.132
S -1.429 10.174 10.402
S 0.495 7.698 2.195
S -0.559 11.902 8.466
S 0.508 2.110 5.972
S -0.546 4.424 12.243
S 0.461 2.620 10.113
S 1.515 3.913 3.842
S 2.733 9.154 8.700
S 3.787 10.447 2.429
S 4.794 8.644 0.298
S 3.740 10.957 6.569
S 4.807 1.165 4.076
S 3.753 5.369 10.346
S 5.677 2.893 2.139
S 4.623 3.640 8.410
N -0.579 7.902 3.468
N -1.633 11.699 9.739
N -0.848 1.523 5.459
N -1.902 5.010 11.730
N -0.637 2.641 8.992
N 0.417 3.893 2.722
N 1.536 2.762 4.940
N 0.482 3.772 11.211
N 3.766 9.295 1.330
N 2.712 10.306 7.601
N 3.831 9.175 9.820
N 4.885 10.426 3.549
N 6.150 8.057 0.811
N 5.096 11.544 7.082
N 5.881 1.368 2.803
N 4.827 5.165 9.073
Cl -0.602 8.042 7.280
Cl 0.452 11.559 1.010
Cl 0.542 7.223 10.578
Cl 1.596 12.378 4.307
Cl 2.601 1.336 1.443
Cl 1.547 5.198 7.714
Cl 2.701 7.870 4.828
Cl 1.647 11.731 11.099
Cl 2.652 0.689 8.235
Cl 3.706 5.844 1.964
Cl 3.796 1.509 11.532
Cl 4.850 5.025 5.261
CELL_PARAMETERS angstrom
6.356 0.000 0.000
0.000 13.067 0.000
-2.108 0.000 12.542
! * calculated total energy: -5.21 eV/atom

---

! FeS4N4Cl5 PBE-GGA optimized geometry; values from VASP
&SYSTEM
  ibrav = 0, nat = 28, ntyp = 4
/
ATOMIC_SPECIES
Fe 55.84 Fe.upf
S 32.06 S.upf
N 14.01 N.upf
Cl 35.45 Cl.upf
ATOMIC_POSITIONS angstrom
Fe 1.159 3.418 2.779
Fe 8.702 7.796 6.988
S 2.104 8.524 1.788
S 3.502 6.341 0.246
S 4.439 8.360 3.610
S 4.552 5.463 2.949
S 5.309 5.752 6.817
S 5.421 2.855 6.157
S 6.359 4.873 9.520
S 7.757 2.691 7.978
N 2.987 8.737 3.079
N 2.607 7.589 0.650
N 4.192 5.559 1.442
N 4.592 6.781 3.826
N 5.269 4.434 5.940
N 5.669 5.656 8.325
N 7.254 3.626 9.116
N 6.874 2.478 6.687
Cl 1.782 5.611 6.806
Cl 1.879 2.847 0.784
Cl 3.552 8.722 6.756
Cl 2.593 2.725 4.292
Cl 4.177 2.529 7.941
Cl 5.684 8.686 1.825
Cl 7.268 8.490 5.474
Cl 6.309 2.493 3.010
Cl 7.982 8.367 8.982
Cl 8.079 5.604 2.960
CELL_PARAMETERS angstrom
7.142 0.000 0.000
1.553 8.997 0.000
1.166 2.218 9.766
! * calculated total energy: -4.79 eV/atom

---

! FeTeS2N2Cl5 PBE-GGA optimized geometry; values from VASP
&SYSTEM
  ibrav = 0, nat = 44, ntyp = 5
/
ATOMIC_SPECIES
Fe 55.84 Fe.upf
Te 127.60 Te.upf
S 32.06 S.upf
N 14.01 N.upf
Cl 35.45 Cl.upf
ATOMIC_POSITIONS angstrom
Fe 0.882 1.744 5.835
Fe -0.035 4.570 12.144
Fe 5.748 8.059 0.474
Fe 4.831 10.885 6.782
Te 2.232 7.118 2.953
Te 1.315 11.826 9.262
Te 4.399 0.803 3.356
Te 3.482 5.511 9.665
S -0.601 0.173 10.544
S 0.316 6.141 4.235
S 0.848 8.722 5.188
S -0.069 10.222 11.497
S 5.783 2.407 1.120
S 4.866 3.907 7.429
S 5.398 6.488 8.382
S 6.315 12.456 2.074
N 0.037 7.373 5.255
N -0.880 11.570 11.563
N 1.952 8.729 4.078
N 1.035 10.214 10.387
N 4.679 2.415 2.230
N 3.762 3.900 8.539
N 6.594 1.059 1.054
N 5.677 5.256 7.363
Cl -0.002 8.845 1.500
Cl -0.919 10.099 7.809
Cl 0.671 2.016 8.032
Cl 1.588 4.299 1.724
Cl 0.231 6.687 11.727
Cl 1.148 12.257 5.418
Cl 1.671 6.360 8.342
Cl 2.588 12.583 2.033
Cl 2.599 2.873 5.027
Cl 1.682 3.441 11.336
Cl 4.031 9.188 1.282
Cl 3.114 9.756 7.590
Cl 3.125 0.046 10.585
Cl 4.042 6.269 4.276
Cl 4.565 0.372 7.200
Cl 5.482 5.943 0.891
Cl 4.126 8.330 10.894
Cl 5.043 10.613 4.585
Cl 6.633 2.530 4.809
Cl 5.716 3.784 11.118
CELL_PARAMETERS angstrom
7.548 0.000 0.000
0.000 12.629 0.000
-1.834 0.000 12.617
! * calculated total energy: -4.39 eV/atom

---

! FeSe2NCl6 PBE-GGA optimized geometry; values from VASP
&SYSTEM
  ibrav = 0, nat = 40, ntyp = 4
/
ATOMIC_SPECIES
Fe 55.84 Fe.upf
Se 78.96 Se.upf
N 14.01 N.upf
Cl 35.45 Cl.upf
ATOMIC_POSITIONS angstrom
Fe -0.367 2.285 4.775
Fe -2.528 3.615 9.665
Fe 8.211 8.184 0.115
Fe 6.050 9.515 5.005
Se -1.643 8.062 8.575
Se 0.518 9.637 3.685
Se 0.794 6.423 4.417
Se -1.367 11.276 9.307
Se 7.051 0.523 0.473
Se 4.889 5.376 5.363
Se 5.166 2.162 6.096
Se 7.327 3.737 1.205
N 0.563 7.915 3.606
N -1.599 9.784 8.496
N 7.282 2.015 1.284
N 5.121 3.884 6.174
Cl -2.472 7.989 5.703
Cl -0.311 9.709 0.813
Cl -1.357 1.103 6.334
Cl 0.804 4.797 1.444
Cl 0.309 1.011 3.120
Cl -1.852 4.888 8.010
Cl 3.345 7.478 0.801
Cl 1.184 10.221 5.691
Cl 3.536 2.514 0.665
Cl 1.375 3.385 5.555
Cl 1.383 6.820 6.493
Cl 3.545 10.879 1.603
Cl 2.139 0.920 8.178
Cl 4.300 4.980 3.288
Cl 4.309 8.414 4.226
Cl 2.148 9.285 9.116
Cl 4.500 1.578 4.089
Cl 2.339 4.321 8.979
Cl 7.536 6.911 1.770
Cl 5.374 10.788 6.660
Cl 4.879 7.002 8.336
Cl 7.040 10.696 3.446
Cl 5.995 2.090 8.967
Cl 8.156 3.810 4.077
CELL_PARAMETERS angstrom
10.006 0.000 0.000
0.000 11.799 0.000
-4.322 0.000 9.780
! * calculated total energy: -3.76 eV/atom

---

! Tl2FeNiCl6 PBE-GGA optimized geometry; values from VASP
&SYSTEM
  ibrav = 0, nat = 10, ntyp = 4
/
ATOMIC_SPECIES
Tl 204.38 Tl.upf
Fe 55.84 Fe.upf
Ni 58.69 Ni.upf
Cl 35.45 Cl.upf
ATOMIC_POSITIONS angstrom
Tl 2.420 2.420 2.420
Tl 7.259 7.259 7.259
Fe 0.000 0.000 0.000
Ni 4.840 4.840 4.840
Cl 4.840 4.840 2.427
Cl 4.840 2.427 4.840
Cl 7.252 4.840 4.840
Cl 2.427 4.840 4.840
Cl 4.840 7.252 4.840
Cl 4.840 4.840 7.252
CELL_PARAMETERS angstrom
0.000 4.840 4.840
4.840 0.000 4.840
4.840 4.840 0.000
! * calculated total energy: -3.73 eV/atom

---

! FePdCl6 PBE-GGA optimized geometry; values from VASP
&SYSTEM
  ibrav = 0, nat = 16, ntyp = 3
/
ATOMIC_SPECIES
Fe 55.84 Fe.upf
Pd 106.42 Pd.upf
Cl 35.45 Cl.upf
ATOMIC_POSITIONS angstrom
Fe 2.918 5.155 8.848
Fe 3.075 -5.155 2.949
Pd 3.075 1.766 2.949
Pd 2.918 -1.766 8.848
Cl 0.988 1.592 4.325
Cl 2.252 3.496 1.599
Cl 3.897 3.496 4.300
Cl 2.030 0.119 1.603
Cl 0.831 -1.592 10.224
Cl 1.874 -0.119 7.502
Cl 4.119 0.119 4.295
Cl 5.162 1.592 1.573
Cl 3.963 -0.119 10.194
Cl 2.096 -3.496 7.498
Cl 3.741 -3.496 10.198
Cl 5.005 -1.592 7.472
CELL_PARAMETERS angstrom
3.153 -5.263 0.000
3.153 5.263 0.000
-0.313 0.000 11.797
! * calculated total energy: -3.61 eV/atom

---

| no. | total magnetic moment (Bohr magnetons per cell) |
| --- | --- |
| 1 | 10.0 |
| 2 | 5.0 |
| 3 | 5.0 |
| 4 | 5.0 |
| 5 | 1.3 |
| 6 | 1.4 |
| 7 | 20.0 |
| 8 | 10.0 |
| 9 | 20.0 |
| 10 | 20.0 |
| 11 | 2.5 |
| 12 | 8.0 |